Record 1
MgBi3O | PBE | relaxed

Geometry as CIF:
```
data_MgBi3O
_cell_length_a 4.989
_cell_length_b 4.989
_cell_length_c 4.989
_cell_angle_alpha 90.00
_cell_angle_beta 90.00
_cell_angle_gamma 90.00
_symmetry_space_group_name_H-M 'P m -3 m'
_symmetry_Int_Tables_number 221
_symmetry_space_group_name_Hall '-P 4 2 3'
loop_
_atom_site_label
_atom_site_fract_x
_atom_site_fract_y
_atom_site_fract_z
Mg1 0.000 0.000 0.000
Bi1 0.000 0.500 0.500
O1 0.500 0.500 0.500
```

Properties
Its formation energy without anion corrections is -0.1528 eV per atom. For the distance to the lowest polymorph of the same formula, the calculation gives 0.0 kJ per mole of atoms. The calculation puts the density of states at the Fermi level at 3.7 states/eV/cell.

Record 2
Mg2Bi3O8 | PBE | relaxed

Geometry as CIF:
```
data_Mg2Bi3O8
_cell_length_a 6.8804
_cell_length_b 6.8804
_cell_length_c 9.1257
_cell_angle_alpha 90.00
_cell_angle_beta 90.00
_cell_angle_gamma 120.00
_symmetry_space_group_name_H-M 'P 63 m c'
_symmetry_Int_Tables_number 186
_symmetry_space_group_name_Hall 'P 6c -2c'
loop_
_atom_site_label
_atom_site_fract_x
_atom_site_fract_y
_atom_site_fract_z
Mg1 0.3333 0.6667 0.0000
Mg2 0.3333 0.6667 0.3265
Bi1 0.1680 0.3359 0.7113
O1 0.0000 0.0000 0.3312
O2 0.0519 0.5260 0.8554
O3 0.1953 0.3907 0.1415
O4 0.3333 0.6667 0.5682
```

Properties
Its formation energy without anion corrections is -1.3862 eV per atom. For the distance to the lowest polymorph of the same formula, the calculation gives 0.0 kJ per mole of atoms. The calculation puts the density of states at the Fermi level at 17.8 states/eV/cell.

Record 3
MgBi2O2 | PBE | relaxed

Geometry as CIF:
```
data_MgBi2O2
_cell_length_a 4.180
_cell_length_b 4.180
_cell_length_c 11.966
_cell_angle_alpha 90.00
_cell_angle_beta 90.00
_cell_angle_gamma 90.00
_symmetry_space_group_name_H-M 'I 4/m m m'
_symmetry_Int_Tables_number 139
_symmetry_space_group_name_Hall '-I 4 2'
loop_
_atom_site_label
_atom_site_fract_x
_atom_site_fract_y
_atom_site_fract_z
Mg1 0.000 0.000 0.000
Bi1 0.000 0.000 0.349
O1 0.000 0.500 0.250
```

Properties
Its formation energy without anion corrections is -0.4744 eV per atom. For the distance to the lowest polymorph of the same formula, the calculation gives 0.0 kJ per mole of atoms. The calculation puts the density of states at the Fermi level at 6.5 states/eV/cell.

Record 4
MgBi4O9 | PBE | relaxed

Geometry as CIF:
```
data_MgBi4O9
_cell_length_a 8.229
_cell_length_b 5.724
_cell_length_c 11.358
_cell_angle_alpha 90.00
_cell_angle_beta 128.55
_cell_angle_gamma 90.00
_symmetry_space_group_name_H-M 'P 1 2/c 1'
_symmetry_Int_Tables_number 13
loop_
_symmetry_equiv_pos_as_xyz
'x,y,z'
'-x,-y,-z'
'-x,y,-z+1/2'
'x,-y,z+1/2'
loop_
_atom_site_label
_atom_site_fract_x
_atom_site_fract_y
_atom_site_fract_z
Mg1 0.000 0.211 0.250
Bi1 0.206 0.188 0.063
Bi2 0.379 0.275 0.855
O1 0.117 0.134 0.620
O2 0.174 0.382 0.205
O3 0.253 0.011 0.423
O4 0.309 0.459 0.997
O5 0.500 0.038 0.250
```

Properties
Its formation energy without anion corrections is -1.2033 eV per atom.

Record 5
Mg2Bi3O8 | PBE | relaxed

Geometry as CIF:
```
data_Mg2Bi3O8
_cell_length_a 10.660
_cell_length_b 6.951
_cell_length_c 5.797
_cell_angle_alpha 90.00
_cell_angle_beta 113.39
_cell_angle_gamma 90.00
_symmetry_space_group_name_H-M 'C 1 2/m 1'
_symmetry_Int_Tables_number 12
loop_
_symmetry_equiv_pos_as_xyz
'x,y,z'
'-x,-y,-z'
'-x,y,-z'
'x,-y,z'
'x+1/2,y+1/2,z'
'-x+1/2,-y+1/2,-z'
'-x+1/2,y+1/2,-z'
'x+1/2,-y+1/2,z'
loop_
_atom_site_label
_atom_site_fract_x
_atom_site_fract_y
_atom_site_fract_z
Mg1 0.173 0.000 0.145
Bi1 0.000 0.233 0.500
Bi2 0.000 0.500 0.000
O1 0.112 0.240 0.262
O2 0.119 0.500 0.723
O3 0.120 0.000 0.755
```

Properties
Its formation energy without anion corrections is -1.3799 eV per atom. For the distance to the lowest polymorph of the same formula, the calculation gives 0.6 kJ per mole of atoms. The calculation puts the density of states at the Fermi level at 7.8 states/eV/cell.

Record 6
Mg3Bi2O7 | PBE | relaxed

Geometry as CIF:
```
data_Mg3Bi2O7
_cell_length_a 19.970
_cell_length_b 5.528
_cell_length_c 5.594
_cell_angle_alpha 90.00
_cell_angle_beta 90.00
_cell_angle_gamma 90.00
_symmetry_space_group_name_H-M 'C m c 21'
_symmetry_Int_Tables_number 36
loop_
_symmetry_equiv_pos_as_xyz
'x,y,z'
'-x,-y,z+1/2'
'-x,y,z'
'x,-y,z+1/2'
'x+1/2,y+1/2,z'
'-x+1/2,-y+1/2,z+1/2'
'-x+1/2,y+1/2,z'
'x+1/2,-y+1/2,z+1/2'
loop_
_atom_site_label
_atom_site_fract_x
_atom_site_fract_y
_atom_site_fract_z
Mg1 0.000 0.211 0.000
Mg2 0.206 0.243 0.075
Bi1 0.111 0.257 0.516
O1 0.000 0.136 0.632
O2 0.082 0.363 0.134
O3 0.163 0.042 0.797
O4 0.208 0.411 0.428
```

Properties
Its formation energy without anion corrections is -1.7599 eV per atom. The calculation puts the density of states at the Fermi level at 16.5 states/eV/cell.

Record 7
Mg4Bi2O | PBE | relaxed

Geometry as CIF:
```
data_Mg4Bi2O
_cell_length_a 4.475
_cell_length_b 4.475
_cell_length_c 14.727
_cell_angle_alpha 90.00
_cell_angle_beta 90.00
_cell_angle_gamma 90.00
_symmetry_space_group_name_H-M 'I 4/m m m'
_symmetry_Int_Tables_number 139
_symmetry_space_group_name_Hall '-I 4 2'
loop_
_atom_site_label
_atom_site_fract_x
_atom_site_fract_y
_atom_site_fract_z
Mg1 0.000 0.000 0.148
Mg2 0.000 0.500 0.000
Bi1 0.000 0.000 0.352
O1 0.000 0.000 0.000
```

Properties
Its formation energy without anion corrections is -0.8337 eV per atom. The calculation puts the density of states at the Fermi level at 2.2 states/eV/cell.

Record 8
MgBi2O2 | PBE | relaxed

Geometry as CIF:
```
data_MgBi2O2
_cell_length_a 8.351
_cell_length_b 8.351
_cell_length_c 3.412
_cell_angle_alpha 90.00
_cell_angle_beta 90.00
_cell_angle_gamma 90.00
_symmetry_space_group_name_H-M 'P 4/m b m'
_symmetry_Int_Tables_number 127
_symmetry_space_group_name_Hall '-P 4 2ab'
loop_
_atom_site_label
_atom_site_fract_x
_atom_site_fract_y
_atom_site_fract_z
Mg1 0.000 0.000 0.000
Bi1 0.219 0.281 0.000
O1 0.163 0.663 0.500
```

Properties
Its formation energy without anion corrections is -0.3658 eV per atom. For the distance to the lowest polymorph of the same formula, the calculation gives 10.5 kJ per mole of atoms. The calculation puts the density of states at the Fermi level at 1.6 states/eV/cell.

Record 9
MgBi3O | PBE | relaxed

Geometry as CIF:
```
data_MgBi3O
_cell_length_a 5.411
_cell_length_b 5.411
_cell_length_c 5.411
_cell_angle_alpha 90.00
_cell_angle_beta 90.00
_cell_angle_gamma 90.00
_symmetry_space_group_name_H-M 'P m -3 m'
_symmetry_Int_Tables_number 221
_symmetry_space_group_name_Hall '-P 4 2 3'
loop_
_atom_site_label
_atom_site_fract_x
_atom_site_fract_y
_atom_site_fract_z
Mg1 0.000 0.000 0.000
Bi1 0.000 0.000 0.500
O1 0.500 0.500 0.500
```

Properties
Its formation energy without anion corrections is 0.9216 eV per atom. For the distance to the lowest polymorph of the same formula, the calculation gives 103.7 kJ per mole of atoms. The calculation puts the density of states at the Fermi level at 10.0 states/eV/cell.

Record 10
MgBi2O6 | PBE | relaxed

Geometry as CIF:
```
data_MgBi2O6
_cell_length_a 4.931
_cell_length_b 4.931
_cell_length_c 9.930
_cell_angle_alpha 90.00
_cell_angle_beta 90.00
_cell_angle_gamma 90.00
_symmetry_space_group_name_H-M 'P 42/m n m'
_symmetry_Int_Tables_number 136
_symmetry_space_group_name_Hall '-P 4n 2n'
loop_
_atom_site_label
_atom_site_fract_x
_atom_site_fract_y
_atom_site_fract_z
Mg1 0.000 0.000 0.000
Bi1 0.000 0.000 0.333
O1 0.191 0.191 0.164
O2 0.197 0.197 0.500
```

Properties
Its formation energy without anion corrections is -1.2407 eV per atom. The calculation puts the density of states at the Fermi level at 1.8 states/eV/cell.

Record 11
MgBiO3 | PBE | relaxed

Geometry as CIF:
```
data_MgBiO3
_cell_length_a 4.252
_cell_length_b 4.252
_cell_length_c 4.252
_cell_angle_alpha 90.00
_cell_angle_beta 90.00
_cell_angle_gamma 90.00
_symmetry_space_group_name_H-M 'P m -3 m'
_symmetry_Int_Tables_number 221
_symmetry_space_group_name_Hall '-P 4 2 3'
loop_
_atom_site_label
_atom_site_fract_x
_atom_site_fract_y
_atom_site_fract_z
Mg1 0.000 0.000 0.000
Bi1 0.500 0.500 0.500
O1 0.000 0.500 0.500
```

Properties
Its formation energy without anion corrections is -0.8762 eV per atom. The calculation puts the density of states at the Fermi level at 1.0 states/eV/cell.

Record 12
Mg2BiOsO8 | PBE | relaxed

Geometry as CIF:
```
data_Mg2BiOsO8
_cell_length_a 6.561
_cell_length_b 6.826
_cell_length_c 6.509
_cell_angle_alpha 90.00
_cell_angle_beta 90.00
_cell_angle_gamma 90.00
_symmetry_space_group_name_H-M 'C m m m'
_symmetry_Int_Tables_number 65
_symmetry_space_group_name_Hall '-C 2 2'
loop_
_atom_site_label
_atom_site_fract_x
_atom_site_fract_y
_atom_site_fract_z
Mg1 0.000 0.000 0.244
Bi1 0.000 0.500 0.500
Os1 0.000 0.500 0.000
O1 0.000 0.309 0.214
O2 0.182 0.000 0.500
O3 0.217 0.000 0.000
```

Properties
Its formation energy without anion corrections is -1.4895 eV per atom. The calculation puts the density of states at the Fermi level at 3.4 states/eV/cell.

Record 13
MgBi2OsO6 | PBE | relaxed

Geometry as CIF:
```
data_MgBi2OsO6
_cell_length_a 5.581
_cell_length_b 5.781
_cell_length_c 9.551
_cell_angle_alpha 90.00
_cell_angle_beta 123.25
_cell_angle_gamma 90.00
_symmetry_space_group_name_H-M 'P 1 21/c 1'
_symmetry_Int_Tables_number 14
loop_
_symmetry_equiv_pos_as_xyz
'x,y,z'
'-x,-y,-z'
'-x,y+1/2,-z+1/2'
'x,-y+1/2,z+1/2'
loop_
_atom_site_label
_atom_site_fract_x
_atom_site_fract_y
_atom_site_fract_z
Mg1 0.000 0.000 0.000
Bi1 0.233 0.068 0.730
Os1 0.500 0.000 0.500
O1 0.156 0.031 0.255
O2 0.199 0.679 0.020
O3 0.358 0.221 0.055
```

Properties
Its formation energy without anion corrections is -1.3701 eV per atom. The calculation puts the density of states at the Fermi level at 1.9 states/eV/cell.

Record 14
MgBiP2O | PBE | relaxed

Geometry as CIF:
```
data_MgBiP2O
_cell_length_a 5.068
_cell_length_b 5.068
_cell_length_c 3.745
_cell_angle_alpha 90.00
_cell_angle_beta 90.00
_cell_angle_gamma 90.00
_symmetry_space_group_name_H-M 'P 4/m m m'
_symmetry_Int_Tables_number 123
_symmetry_space_group_name_Hall '-P 4 2'
loop_
_atom_site_label
_atom_site_fract_x
_atom_site_fract_y
_atom_site_fract_z
Mg1 0.000 0.000 0.000
Bi1 0.500 0.500 0.500
P1 0.000 0.500 0.000
O1 0.000 0.000 0.500
```

Properties
Its formation energy without anion corrections is 0.0964 eV per atom. For the distance to the lowest polymorph of the same formula, the calculation gives 0.0 kJ per mole of atoms. The calculation puts the density of states at the Fermi level at 2.4 states/eV/cell.

Record 15
MgBiP2O8 | PBE | relaxed

Geometry as CIF:
```
data_MgBiP2O8
_cell_length_a 6.882
_cell_length_b 6.882
_cell_length_c 5.982
_cell_angle_alpha 90.00
_cell_angle_beta 90.00
_cell_angle_gamma 90.00
_symmetry_space_group_name_H-M 'I -4 m 2'
_symmetry_Int_Tables_number 119
_symmetry_space_group_name_Hall 'I -4 -2'
loop_
_atom_site_label
_atom_site_fract_x
_atom_site_fract_y
_atom_site_fract_z
Mg1 0.000 0.000 0.000
Bi1 0.000 0.500 0.750
P1 0.000 0.000 0.500
P2 0.000 0.500 0.250
O1 0.000 0.169 0.672
O2 0.000 0.321 0.088
```

Properties
Its formation energy without anion corrections is -1.9977 eV per atom. The calculation puts the density of states at the Fermi level at 7.1 states/eV/cell.

Record 16
Mg2BiPO6 | PBE | relaxed

Geometry as CIF:
```
data_Mg2BiPO6
_cell_length_a 7.913
_cell_length_b 12.129
_cell_length_c 5.321
_cell_angle_alpha 90.00
_cell_angle_beta 90.00
_cell_angle_gamma 90.00
_symmetry_space_group_name_H-M 'C m c m'
_symmetry_Int_Tables_number 63
_symmetry_space_group_name_Hall '-C 2c 2'
loop_
_atom_site_label
_atom_site_fract_x
_atom_site_fract_y
_atom_site_fract_z
Mg1 0.196 0.098 0.250
Bi1 0.000 0.403 0.250
P1 0.000 0.199 0.750
O1 0.000 0.125 0.507
O2 0.161 0.269 0.750
O3 0.173 0.500 0.000
```

Properties
Its formation energy without anion corrections is -2.2986 eV per atom. The calculation puts the density of states at the Fermi level at 0.0 states/eV/cell.

Record 17
Mg3Bi2P2O12 | PBE | relaxed

Geometry as CIF:
```
data_Mg3Bi2P2O12
_cell_length_a 7.235
_cell_length_b 5.320
_cell_length_c 7.443
_cell_angle_alpha 90.00
_cell_angle_beta 114.68
_cell_angle_gamma 90.00
_symmetry_space_group_name_H-M 'P 1 m 1'
_symmetry_Int_Tables_number 6
loop_
_symmetry_equiv_pos_as_xyz
'x,y,z'
'x,-y,z'
loop_
_atom_site_label
_atom_site_fract_x
_atom_site_fract_y
_atom_site_fract_z
Mg1 0.000 0.000 0.000
Mg2 0.196 0.500 0.788
Mg3 0.574 0.500 0.179
Bi1 0.707 0.500 0.687
Bi2 0.933 0.000 0.526
P1 0.055 0.500 0.262
P2 0.457 0.000 0.870
O1 0.101 0.500 0.486
O2 0.144 0.262 0.210
O3 0.304 0.000 0.648
O4 0.415 0.244 0.964
O5 0.660 0.267 0.419
O6 0.677 0.000 0.888
O7 0.822 0.500 0.134
O8 0.977 0.250 0.778
```

Properties
Its formation energy without anion corrections is -1.9664 eV per atom. The calculation puts the density of states at the Fermi level at 7.1 states/eV/cell.

Record 18
Mg2BiPO6 | PBE | relaxed

Geometry as CIF:
```
data_Mg2BiPO6
_cell_length_a 12.078
_cell_length_b 5.333
_cell_length_c 7.909
_cell_angle_alpha 90.00
_cell_angle_beta 90.00
_cell_angle_gamma 90.00
_symmetry_space_group_name_H-M 'P n m a'
_symmetry_Int_Tables_number 62
loop_
_symmetry_equiv_pos_as_xyz
'x,y,z'
'-x,-y,-z'
'-x+1/2,-y,z+1/2'
'x+1/2,y,-z+1/2'
'x+1/2,-y+1/2,-z+1/2'
'-x+1/2,y+1/2,z+1/2'
'-x,y+1/2,-z'
'x,-y+1/2,z'
loop_
_atom_site_label
_atom_site_fract_x
_atom_site_fract_y
_atom_site_fract_z
Mg1 0.095 0.250 0.204
Mg2 0.101 0.250 0.810
Bi1 0.097 0.750 0.489
P1 0.199 0.750 0.022
O1 0.006 0.002 0.674
O2 0.126 0.507 0.007
O3 0.213 0.250 0.382
O4 0.248 0.250 0.700
```

Properties
Its formation energy without anion corrections is -2.3000 eV per atom. The calculation puts the density of states at the Fermi level at 0.0 states/eV/cell.